Density functional theory data (PBE) for a relaxed structure of Ho2Tm8Sc.

The structure in POSCAR format:
```
Ho2Tm8Sc
1.0
8.531 -2.671 0.000
8.531 2.671 0.000
-3.845 0.000 7.278
Ho Tm Sc
2 8 1
Cartesian
2.852 0.000 1.162 Ho
10.364 0.000 6.116 Ho
-0.589 0.000 1.612 Tm
0.009 0.000 5.028 Tm
3.432 0.000 4.462 Tm
6.282 0.000 0.492 Tm
6.934 0.000 6.786 Tm
9.784 0.000 2.816 Tm
13.207 0.000 2.250 Tm
13.805 0.000 5.666 Tm
6.608 0.000 3.639 Sc
```

Properties
Uncorrected energy = -50.03 eV/f.u.
SG = No. 12

Density functional theory data (PBE) for a relaxed structure of Ho8Tm3Sc.

The structure in POSCAR format:
```
Ho8Tm3Sc
1.0
6.050 -3.495 0.000
6.050 3.495 0.000
-6.049 0.000 8.543
Ho Tm Sc
8 3 1
Cartesian
-2.015 0.000 5.699 Ho
1.006 1.751 5.726 Ho
2.009 0.000 2.817 Ho
5.045 1.751 2.817 Ho
1.006 -1.751 5.726 Ho
4.041 0.000 5.726 Ho
5.045 -1.751 2.817 Ho
8.065 0.000 2.845 Ho
3.025 1.747 0.000 Tm
3.025 -1.747 0.000 Tm
6.050 0.000 0.000 Tm
0.000 0.000 0.000 Sc
```

Properties
Uncorrected energy = -56.02 eV/f.u.
SG = No. 12

Density functional theory data (PBE) for a relaxed structure of Ho2TmSc5.

The structure in POSCAR format:
```
Ho2TmSc5
1.0
-3.374 3.374 4.692
3.374 -3.374 4.692
3.374 3.374 -4.692
Ho Tm Sc
2 1 5
Cartesian
3.374 0.000 0.000 Ho
0.000 3.374 0.000 Ho
0.000 0.000 9.381 Tm
1.688 1.688 -2.346 Sc
1.686 -1.686 2.346 Sc
-1.686 1.686 2.346 Sc
0.000 0.000 4.695 Sc
1.686 1.686 2.346 Sc
```

Properties
Uncorrected energy = -44.82 eV/f.u.
SG = No. 107
Relative energy among the computed polymorphs = 38 meV/atom

Density functional theory data (PBE) for a relaxed structure of HoTmSc2.

The structure in POSCAR format:
```
HoTmSc2
1.0
3.419 0.000 0.000
0.000 3.419 0.000
0.000 0.000 9.376
Ho Tm Sc
1 1 2
Cartesian
0.000 0.000 0.000 Ho
0.000 0.000 4.688 Tm
1.709 1.709 2.351 Sc
1.709 1.709 7.025 Sc
```

Properties
Uncorrected energy = -21.51 eV/f.u.
SG = No. 123
Relative energy among the computed polymorphs = 4 meV/atom

Density functional theory data (PBE) for a relaxed structure of Ho3Tm4Sc3.

The structure in POSCAR format:
```
Ho3Tm4Sc3
1.0
3.578 0.000 0.000
0.000 6.327 6.381
0.000 -6.327 6.381
Ho Tm Sc
3 4 3
Cartesian
0.000 0.000 0.000 Ho
1.789 -3.140 7.403 Ho
1.789 3.140 7.403 Ho
1.789 0.000 2.645 Tm
1.789 0.000 5.865 Tm
1.789 -1.641 10.520 Tm
1.789 1.641 10.520 Tm
0.000 -2.147 4.227 Sc
0.000 2.147 4.227 Sc
0.000 0.000 8.410 Sc
```

Properties
Uncorrected energy = -49.77 eV/f.u.
SG = No. 38

Density functional theory data (PBE) for a relaxed structure of Ho3Tm8Sc2.

The structure in POSCAR format:
```
Ho3Tm8Sc2
1.0
7.257 -4.487 0.000
7.257 4.487 0.000
-2.167 0.000 6.230
Ho Tm Sc
3 8 2
Cartesian
0.000 0.000 0.000 Ho
6.173 2.947 3.115 Ho
6.173 -2.947 3.115 Ho
0.830 0.000 5.581 Tm
3.770 1.625 5.043 Tm
5.363 0.000 1.726 Tm
8.576 1.625 1.187 Tm
3.770 -1.625 5.043 Tm
6.984 0.000 4.504 Tm
8.576 -1.625 1.187 Tm
11.517 0.000 0.649 Tm
2.066 0.000 2.636 Sc
10.281 0.000 3.594 Sc
```

Properties
Uncorrected energy = -59.05 eV/f.u.
SG = No. 12
Relative energy among the computed polymorphs = 0 meV/atom

Density functional theory data (PBE) for a relaxed structure of Ho2Tm4Sc.

The structure in POSCAR format:
```
Ho2Tm4Sc
1.0
6.123 0.000 0.000
-3.058 7.642 0.000
-0.002 -0.961 8.906
Ho Tm Sc
4 8 2
Cartesian
0.000 0.000 0.000 Ho
-1.013 3.217 0.665 Ho
0.012 6.402 1.289 Ho
2.031 5.891 5.697 Ho
-0.001 1.518 6.330 Tm
-1.032 4.680 6.949 Tm
2.052 -0.474 4.456 Tm
2.027 2.004 1.956 Tm
3.065 0.286 7.618 Tm
2.050 3.461 8.238 Tm
3.066 5.165 2.575 Tm
5.095 0.796 3.210 Tm
-0.004 3.944 3.838 Sc
3.057 2.734 5.070 Sc
```

Properties
Uncorrected energy = -33.33 eV/f.u.
SG = No. 1
Relative energy among the computed polymorphs = 0 meV/atom

Density functional theory data (PBE) for a relaxed structure of HoTm3Sc6.

The structure in POSCAR format:
```
HoTm3Sc6
1.0
5.214 -8.936 0.000
5.214 8.936 0.000
0.000 0.000 5.813
Ho Tm Sc
2 6 12
Cartesian
5.214 5.188 2.906 Ho
5.214 -5.188 0.000 Ho
1.816 1.884 4.013 Tm
1.816 -1.884 1.107 Tm
5.214 1.891 3.456 Tm
5.214 -1.891 0.550 Tm
8.611 1.884 4.013 Tm
8.611 -1.884 1.107 Tm
2.576 3.815 1.714 Sc
5.214 8.085 4.237 Sc
3.491 0.916 0.788 Sc
5.214 3.842 0.101 Sc
3.491 -0.916 3.695 Sc
2.576 -3.815 4.620 Sc
7.852 3.815 1.714 Sc
6.937 0.916 0.788 Sc
5.214 -3.842 3.008 Sc
6.937 -0.916 3.695 Sc
5.214 -8.085 1.331 Sc
7.852 -3.815 4.620 Sc
```

Properties
Uncorrected energy = -54.43 eV/f.u.
SG = No. 36
Relative energy among the computed polymorphs = 0 meV/atom

Density functional theory data (PBE) for a relaxed structure of Ho8Tm5Sc.

The structure in POSCAR format:
```
Ho8Tm5Sc
1.0
-4.711 4.711 4.957
4.711 -4.711 4.957
4.711 4.711 -4.957
Ho Tm Sc
8 5 1
Cartesian
1.689 -0.835 2.448 Ho
3.021 5.546 -2.509 Ho
0.649 3.063 0.912 Ho
3.875 3.021 2.509 Ho
-0.649 6.358 0.912 Ho
-1.648 4.062 4.045 Ho
0.835 1.689 7.466 Ho
1.648 5.359 4.045 Ho
0.000 0.000 0.000 Tm
3.694 2.746 -0.762 Tm
1.964 -1.016 5.719 Tm
1.016 1.964 4.195 Tm
2.746 5.727 0.762 Tm
4.711 0.000 2.479 Sc
```

Properties
Uncorrected energy = -61.58 eV/f.u.
SG = No. 82

Density functional theory data (PBE) for a relaxed structure of HoTmSc4.

The structure in POSCAR format:
```
HoTmSc4
1.0
3.284 -9.143 0.000
3.284 9.143 0.000
-0.001 0.000 5.268
Ho Tm Sc
2 2 8
Cartesian
3.283 6.863 3.951 Ho
3.284 -6.863 1.317 Ho
3.284 2.292 1.317 Tm
3.283 -2.292 3.951 Tm
1.643 3.810 3.951 Sc
1.649 0.762 3.958 Sc
1.650 -0.762 1.324 Sc
1.644 -3.810 1.317 Sc
4.923 3.810 3.951 Sc
4.918 0.762 3.944 Sc
4.918 -0.762 1.310 Sc
4.924 -3.810 1.317 Sc
```

Properties
Uncorrected energy = -34.04 eV/f.u.
SG = No. 15
Relative energy among the computed polymorphs = 24 meV/atom

Density functional theory data (PBE) for a relaxed structure of Ho2Tm6Sc3.

The structure in POSCAR format:
```
Ho2Tm6Sc3
1.0
1.723 0.995 30.608
-1.723 0.995 30.608
0.000 -1.989 30.608
Ho Tm Sc
2 6 3
Cartesian
0.000 0.000 4.302 Ho
0.000 0.000 87.522 Ho
0.000 0.000 12.600 Tm
0.000 0.000 29.181 Tm
0.000 0.000 37.803 Tm
0.000 0.000 54.021 Tm
0.000 0.000 62.642 Tm
0.000 0.000 79.223 Tm
0.000 0.000 20.718 Sc
0.000 0.000 45.912 Sc
0.000 0.000 71.106 Sc
```

Properties
Uncorrected energy = -54.46 eV/f.u.
SG = No. 166

Density functional theory data (PBE) for a relaxed structure of Ho2TmSc7.

The structure in POSCAR format:
```
Ho2TmSc7
1.0
8.676 -1.671 0.000
8.676 1.671 0.000
-2.563 0.000 9.045
Ho Tm Sc
2 1 7
Cartesian
3.191 0.000 0.950 Ho
11.597 0.000 8.095 Ho
0.000 0.000 0.000 Tm
-1.282 0.000 4.523 Sc
1.918 0.000 5.374 Sc
6.419 0.000 1.887 Sc
5.188 0.000 6.256 Sc
9.600 0.000 2.789 Sc
8.369 0.000 7.158 Sc
12.870 0.000 3.671 Sc
```

Properties
Uncorrected energy = -57.40 eV/f.u.
SG = No. 12
Relative energy among the computed polymorphs = 0 meV/atom

Density functional theory data (PBE) for a relaxed structure of Ho7Tm2Sc2.

The structure in POSCAR format:
```
Ho7Tm2Sc2
1.0
3.229 -5.794 0.000
3.229 5.794 0.000
0.000 0.000 9.317
Ho Tm Sc
7 2 2
Cartesian
0.000 0.000 0.000 Ho
1.614 2.897 2.861 Ho
1.614 2.897 6.456 Ho
1.614 -2.897 2.861 Ho
1.614 -2.897 6.456 Ho
3.229 0.000 1.698 Ho
3.229 0.000 7.619 Ho
1.613 0.000 4.659 Tm
4.845 0.000 4.659 Tm
3.229 2.653 0.000 Sc
3.229 -2.653 0.000 Sc
```

Properties
Uncorrected energy = -49.71 eV/f.u.
SG = No. 65
Relative energy among the computed polymorphs = 214 meV/atom

Density functional theory data (PBE) for a relaxed structure of Ho4TmSc6.

The structure in POSCAR format:
```
Ho4TmSc6
1.0
2.671 -4.623 0.000
2.671 4.623 0.000
0.000 0.000 24.323
Ho Tm Sc
8 2 12
Cartesian
2.671 4.618 15.159 Ho
2.671 4.618 21.325 Ho
2.671 1.539 13.175 Ho
2.671 1.539 23.309 Ho
2.671 -1.539 1.014 Ho
2.671 -1.539 11.148 Ho
2.671 -4.618 2.998 Ho
2.671 -4.618 9.164 Ho
2.671 1.550 6.081 Tm
2.671 -1.550 18.242 Tm
0.000 0.000 0.000 Sc
0.000 0.000 12.161 Sc
2.671 4.613 18.242 Sc
2.671 1.546 2.527 Sc
2.671 1.546 9.634 Sc
2.671 1.533 16.630 Sc
2.671 1.533 19.854 Sc
2.671 -1.533 4.469 Sc
2.671 -1.533 7.692 Sc
2.671 -1.546 14.688 Sc
2.671 -1.546 21.796 Sc
2.671 -4.613 6.081 Sc
```

Properties
Uncorrected energy = -59.38 eV/f.u.
SG = No. 63
Relative energy among the computed polymorphs = 0 meV/atom

Density functional theory data (PBE) for a relaxed structure of HoTmSc2.

The structure in POSCAR format:
```
HoTmSc2
1.0
1.712 0.988 10.824
-1.712 0.988 10.824
0.000 -1.977 10.824
Ho Tm Sc
1 1 2
Cartesian
0.000 0.000 0.000 Ho
0.000 0.000 5.383 Tm
0.000 0.000 18.923 Sc
0.000 0.000 24.337 Sc
```

Properties
Uncorrected energy = -21.53 eV/f.u.
SG = No. 160
Relative energy among the computed polymorphs = 0 meV/atom

Density functional theory data (PBE) for a relaxed structure of Ho3Tm5Sc2.

The structure in POSCAR format:
```
Ho3Tm5Sc2
1.0
-6.272 8.110 3.070
6.272 -8.110 3.070
6.272 8.110 -3.070
Ho Tm Sc
6 10 4
Cartesian
1.974 3.969 0.000 Ho
0.000 0.000 1.535 Ho
8.247 4.141 0.000 Ho
-1.974 3.969 3.070 Ho
0.000 0.000 4.605 Ho
4.298 4.141 3.070 Ho
5.037 2.581 0.000 Tm
3.149 8.110 -1.535 Tm
3.123 0.000 1.535 Tm
6.272 0.000 1.535 Tm
5.037 -2.581 3.070 Tm
1.235 10.691 0.000 Tm
0.000 8.110 1.535 Tm
3.149 8.110 1.535 Tm
3.123 0.000 4.605 Tm
1.235 5.529 3.070 Tm
5.008 -5.593 3.070 Sc
5.008 5.593 0.000 Sc
1.264 2.518 3.070 Sc
1.264 13.703 0.000 Sc
```

Properties
Uncorrected energy = -45.04 eV/f.u.
SG = No. 72
Relative energy among the computed polymorphs = 170 meV/atom

Density functional theory data (PBE) for a relaxed structure of HoTm5Sc4.

The structure in POSCAR format:
```
HoTm5Sc4
1.0
9.944 0.000 0.000
0.000 11.127 0.000
0.000 0.000 5.350
Ho Tm Sc
2 10 8
Cartesian
2.486 2.782 1.339 Ho
7.458 8.345 4.011 Ho
0.526 0.551 1.338 Tm
0.526 5.012 1.338 Tm
2.486 8.345 4.008 Tm
4.446 0.551 1.338 Tm
4.446 5.012 1.338 Tm
5.498 6.115 4.012 Tm
5.498 10.576 4.012 Tm
7.458 2.782 1.342 Tm
9.418 6.115 4.012 Tm
9.418 10.576 4.012 Tm
0.035 2.782 4.015 Sc
2.486 0.660 4.014 Sc
2.486 4.904 4.014 Sc
4.937 2.782 4.015 Sc
5.007 8.345 1.335 Sc
7.458 6.223 1.336 Sc
7.458 10.467 1.336 Sc
9.909 8.345 1.335 Sc
```

Properties
Uncorrected energy = -49.28 eV/f.u.
SG = No. 59
Relative energy among the computed polymorphs = 0 meV/atom

Density functional theory data (PBE) for a relaxed structure of Ho2Tm3Sc3.

The structure in POSCAR format:
```
Ho2Tm3Sc3
1.0
4.187 2.418 3.866
-4.187 2.418 3.866
0.000 -4.835 3.866
Ho Tm Sc
2 3 3
Cartesian
0.000 0.000 2.876 Ho
0.000 0.000 8.721 Ho
-1.004 -3.097 3.866 Tm
-2.180 2.418 3.866 Tm
3.184 0.679 3.866 Tm
-1.891 0.000 5.799 Sc
0.946 -1.638 5.799 Sc
0.946 1.638 5.799 Sc
```

Properties
Uncorrected energy = -39.67 eV/f.u.
SG = No. 155
Relative energy among the computed polymorphs = 187 meV/atom

Density functional theory data (PBE) for a relaxed structure of Ho5Tm2Sc2.

The structure in POSCAR format:
```
Ho5Tm2Sc2
1.0
7.335 -2.437 0.000
7.335 2.437 0.000
-2.454 0.000 7.359
Ho Tm Sc
5 2 2
Cartesian
0.000 0.000 0.000 Ho
2.421 0.000 2.469 Ho
2.455 0.000 7.349 Ho
9.761 0.000 0.010 Ho
9.795 0.000 4.890 Ho
-0.046 0.000 4.890 Tm
12.261 0.000 2.469 Tm
4.902 0.000 4.874 Sc
7.314 0.000 2.485 Sc
```

Properties
Uncorrected energy = -44.13 eV/f.u.
SG = No. 12
Relative energy among the computed polymorphs = 0 meV/atom

Density functional theory data (PBE) for a relaxed structure of HoTmSc2.

The structure in POSCAR format:
```
HoTmSc2
1.0
3.724 0.000 0.000
0.000 3.724 0.000
0.000 0.000 8.073
Ho Tm Sc
1 1 2
Cartesian
0.000 0.000 0.000 Ho
1.862 1.862 2.465 Tm
0.000 0.000 4.445 Sc
1.862 1.862 6.051 Sc
```

Properties
Uncorrected energy = -21.40 eV/f.u.
SG = No. 99
Relative energy among the computed polymorphs = 31 meV/atom